Entry from Alexandria via LeMat-Bulk: crystalline Cs6Na12Tl at its relaxed geometry (GGA-PBE).

Computed properties:
Uncorrected energy in eV/atom: -1.16
Formation energy in meV per atom: 62

Cell lengths 10.525, 10.525, 10.525 Å; angles 99.73, 99.73, 99.73 degrees
Sites, in units of the cell vectors:
Cs 0.901 0.790 0.571
Na 0.779 0.902 0.190
Na 0.902 0.190 0.779
Tl 0.000 0.000 0.000
Na 0.314 0.498 0.753
Cs 0.429 0.099 0.210
Na 0.221 0.098 0.810
Cs 0.099 0.210 0.429
Na 0.502 0.247 0.686
Cs 0.210 0.429 0.099
Na 0.686 0.502 0.247
Na 0.810 0.221 0.098
Na 0.498 0.753 0.314
Na 0.190 0.779 0.902
Cs 0.571 0.901 0.790
Na 0.098 0.810 0.221
Na 0.753 0.314 0.498
Na 0.247 0.686 0.502
Cs 0.790 0.571 0.901